Entry 1:
Entry from Alexandria: a geometry-optimized SrLi2Cl structure (PBE).

Lattice parameters (Å, degrees): 4.4576 3.7950 6.8342 90.00 108.99 90.00
Closest atoms and distances in Å follow each position.
Fractional positions:
Sr (0.0000, 0.0000, 0.0000)  4 Cl 3.07, 1 Li 3.32
Li (0.2566, 0.0000, 0.5142)  2 Cl 2.92, 4 Li 3.08
Li (0.6834, 0.5000, 0.3676)  4 Li 3.08, 1 Cl 3.30
Cl (0.4290, 0.5000, 0.8567)  2 Li 2.92, 4 Sr 3.07

Results
Spin magnetization (Bohr magnetons per cell): 0.0
Formation energy (no corrections) (eV/atom): -0.731
Crystal system: monoclinic
Fermi-level density of states (states/eV/atom): 0.569
E (eV/atom): -2.5700
Space-group type: Pm

***

Entry 2:
Entry from Alexandria: a geometry-optimized Mg2TlAgCl structure (PBE).

Lattice parameters (Å, degrees): 5.4689 5.4689 5.2824 90.00 90.00 90.00
Closest atoms and distances in Å follow each position.
Fractional positions:
Mg (0.0000, 0.5000, 0.0000)  2 Tl 2.73
Mg (0.5000, 0.0000, 0.0000)  2 Tl 2.73
Tl (0.0000, 0.0000, 0.0000)  2 Ag 2.64, 4 Mg 2.73
Ag (0.0000, 0.0000, 0.5000)  2 Tl 2.64
Cl (0.5000, 0.5000, 0.5000)  8 Mg 3.80, 4 Ag 3.87

Results
Spin magnetization (Bohr magnetons per cell): 0.0
Formation energy (no corrections) (eV/atom): 0.112
Crystal system: tetragonal
Fermi-level density of states (states/eV/atom): 0.513
E (eV/atom): -1.9383
Space-group type: P4/mmm

***

Entry 3:
Entry from Alexandria: a geometry-optimized Dy3Ga structure (PBE).

Lattice parameters (Å, degrees): 3.3924 3.4331 10.0041 90.00 90.00 90.00
Closest atoms and distances in Å follow each position.
Fractional positions:
Dy (0.0000, 0.0000, 0.0000)  2 Ga 3.00
Dy (0.0000, 0.5000, 0.4304)  4 Ga 3.03, 2 Dy 3.39
Dy (0.5000, 0.5000, 0.7415)  10 Dy 3.39-3.54
Ga (0.5000, 0.0000, 0.2473)  6 Dy 3.00-3.03

Results
Spin magnetization (Bohr magnetons per cell): 0.0
Crystal system: orthorhombic
Fermi-level density of states (states/eV/atom): 1.304
E (eV/atom): -4.2319
Space-group type: Pmm2

***

Entry 4:
Entry from Alexandria: a geometry-optimized NaMn2W structure (PBE).

Lattice parameters (Å, degrees): 6.9462 6.9462 5.6458 90.00 90.00 90.00
Closest atoms and distances in Å follow each position.
Fractional positions:
Na (0.0000, 0.0000, 0.0000)  4 Mn 2.69, 2 W 2.82
Na (0.0000, 0.5000, 0.2500)  4 Mn 2.69, 2 W 2.82
Na (0.5000, 0.0000, 0.7500)  4 Mn 2.69, 2 W 2.82
Na (0.5000, 0.5000, 0.5000)  4 Mn 2.69, 2 W 2.82
Mn (0.2219, 0.2500, 0.6250)  2 W 2.43, 2 Na 2.69
Mn (0.2500, 0.7219, 0.8750)  2 W 2.43, 2 Na 2.69
Mn (0.2500, 0.7781, 0.3750)  2 W 2.43, 2 Na 2.69
Mn (0.2781, 0.2500, 0.1250)  2 W 2.43, 2 Na 2.69
Mn (0.7219, 0.7500, 0.1250)  2 W 2.43, 2 Na 2.69
Mn (0.7500, 0.2219, 0.3750)  2 W 2.43, 2 Na 2.69
Mn (0.7500, 0.2781, 0.8750)  2 W 2.43, 2 Na 2.69
Mn (0.7781, 0.7500, 0.6250)  2 W 2.43, 2 Na 2.69
W (0.0000, 0.0000, 0.5000)  4 Mn 2.43
W (0.0000, 0.5000, 0.7500)  4 Mn 2.43
W (0.5000, 0.0000, 0.2500)  4 Mn 2.43
W (0.5000, 0.5000, 0.0000)  4 Mn 2.43

Results
Spin magnetization (Bohr magnetons per cell): 15.9
Crystal system: tetragonal
Fermi-level density of states (states/eV/atom): 0.962
E (eV/atom): -6.9714
Space-group type: I-42d

***

Entry 5:
Entry from Alexandria: a geometry-optimized LaDyHoCd structure (PBE).

Lattice parameters (Å, degrees): 7.8360 7.8360 7.8360 90.00 90.00 90.00
Closest atoms and distances in Å follow each position.
Fractional positions:
La (0.0000, 0.0000, 0.0000)  4 Cd 3.39, 4 Ho 3.39
La (0.0000, 0.5000, 0.5000)  4 Cd 3.39, 4 Ho 3.39
La (0.5000, 0.0000, 0.5000)  4 Cd 3.39, 4 Ho 3.39
La (0.5000, 0.5000, 0.0000)  4 Cd 3.39, 4 Ho 3.39
Dy (0.0000, 0.0000, 0.5000)  4 Cd 3.39, 4 Ho 3.39
Dy (0.0000, 0.5000, 0.0000)  4 Cd 3.39, 4 Ho 3.39
Dy (0.5000, 0.0000, 0.0000)  4 Cd 3.39, 4 Ho 3.39
Dy (0.5000, 0.5000, 0.5000)  4 Cd 3.39, 4 Ho 3.39
Ho (0.2500, 0.2500, 0.7500)  4 La 3.39, 4 Dy 3.39
Ho (0.2500, 0.7500, 0.2500)  4 La 3.39, 4 Dy 3.39
Ho (0.7500, 0.2500, 0.2500)  4 La 3.39, 4 Dy 3.39
Ho (0.7500, 0.7500, 0.7500)  4 La 3.39, 4 Dy 3.39
Cd (0.2500, 0.2500, 0.2500)  4 La 3.39, 4 Dy 3.39
Cd (0.2500, 0.7500, 0.7500)  4 Dy 3.39, 4 La 3.39
Cd (0.7500, 0.2500, 0.7500)  4 Dy 3.39, 4 La 3.39
Cd (0.7500, 0.7500, 0.2500)  4 Dy 3.39, 4 La 3.39

Results
Spin magnetization (Bohr magnetons per cell): 0.0
Crystal system: cubic
Fermi-level density of states (states/eV/atom): 1.391
E (eV/atom): -3.7918
Space-group type: F-43m

***

Entry 6:
Entry from Alexandria: a geometry-optimized Ac4Ga2F structure (PBE).

Lattice parameters (Å, degrees): 5.1227 5.1227 17.4459 90.00 90.00 90.00
Closest atoms and distances in Å follow each position.
Fractional positions:
Ac (0.0000, 0.0000, 0.1896)  1 Ga 3.17, 1 F 3.31
Ac (0.0000, 0.0000, 0.8104)  1 Ga 3.17, 1 F 3.31
Ac (0.0000, 0.5000, 0.0000)  2 F 2.56
Ac (0.0000, 0.5000, 0.5000)  2 F 2.56
Ac (0.5000, 0.0000, 0.0000)  2 F 2.56
Ac (0.5000, 0.0000, 0.5000)  2 F 2.56
Ac (0.5000, 0.5000, 0.3104)  1 Ga 3.17, 1 F 3.31
Ac (0.5000, 0.5000, 0.6896)  1 Ga 3.17, 1 F 3.31
Ga (0.0000, 0.0000, 0.3712)  5 Ac 3.17-3.41
Ga (0.0000, 0.0000, 0.6288)  5 Ac 3.17-3.41
Ga (0.5000, 0.5000, 0.1288)  5 Ac 3.17-3.41
Ga (0.5000, 0.5000, 0.8712)  5 Ac 3.17-3.41
F (0.0000, 0.0000, 0.0000)  4 Ac 2.56
F (0.5000, 0.5000, 0.5000)  4 Ac 2.56

Results
Spin magnetization (Bohr magnetons per cell): 0.0
Formation energy (no corrections) (eV/atom): -0.856
Crystal system: tetragonal
Fermi-level density of states (states/eV/atom): 0.960
E (eV/atom): -4.3356
Space-group type: I4/mmm

***

Entry 7:
Entry from Alexandria: a geometry-optimized LiTm2CuPt2 structure (PBE).

Lattice parameters (Å, degrees): 8.1498 8.1498 8.1498 139.63 58.57 139.42
Closest atoms and distances in Å follow each position.
Fractional positions:
Li (0.2500, 0.2500, 0.0000)  4 Pt 2.68, 2 Cu 2.81, 2 Li 2.83
Li (0.7500, 0.7500, 0.0000)  4 Pt 2.68, 2 Cu 2.81, 2 Li 2.83
Tm (0.1709, 0.7471, 0.9180)  5 Pt 2.88-2.90, 2 Cu 3.14, 2 Li 3.15
Tm (0.3291, 0.2471, 0.5761)  5 Pt 2.88-2.90, 2 Cu 3.14, 2 Li 3.15
Tm (0.6709, 0.7529, 0.4239)  5 Pt 2.88-2.90, 2 Cu 3.14, 2 Li 3.15
Tm (0.8291, 0.2529, 0.0820)  5 Pt 2.88-2.90, 2 Cu 3.14, 2 Li 3.15
Cu (0.2500, 0.7500, 0.5000)  4 Pt 2.69, 2 Li 2.81, 2 Cu 2.83
Cu (0.7500, 0.2500, 0.5000)  4 Pt 2.69, 2 Li 2.81, 2 Cu 2.83
Pt (0.1266, 0.2477, 0.3743)  2 Li 2.68, 2 Cu 2.69, 5 Tm 2.88-2.90
Pt (0.3734, 0.7477, 0.1211)  2 Li 2.68, 2 Cu 2.69, 5 Tm 2.88-2.90
Pt (0.6266, 0.2523, 0.8789)  2 Li 2.68, 2 Cu 2.69, 5 Tm 2.88-2.90
Pt (0.8734, 0.7523, 0.6257)  2 Li 2.68, 2 Cu 2.69, 5 Tm 2.88-2.90

Results
Spin magnetization (Bohr magnetons per cell): 0.0
Crystal system: orthorhombic
Fermi-level density of states (states/eV/atom): 0.379
E (eV/atom): -5.4099
Space-group type: Ibam

***

Entry 8:
Entry from Alexandria: a geometry-optimized SrTaMo structure (PBE).

Lattice parameters (Å, degrees): 3.4407 3.4407 12.2550 90.00 90.00 90.00
Closest atoms and distances in Å follow each position.
Fractional positions:
Sr (0.0000, 0.0000, 0.0000)  5 Mo 3.42-3.72, 4 Sr 3.44, 5 Ta 3.49-3.59
Sr (0.5000, 0.5000, 0.5000)  5 Mo 3.42-3.72, 4 Sr 3.44, 5 Ta 3.49-3.59
Ta (0.0000, 0.0000, 0.2846)  4 Mo 2.66
Ta (0.5000, 0.5000, 0.7846)  4 Mo 2.66
Mo (0.0000, 0.0000, 0.6965)  4 Ta 2.66
Mo (0.5000, 0.5000, 0.1965)  4 Ta 2.66

Results
Spin magnetization (Bohr magnetons per cell): 0.0
Crystal system: tetragonal
Fermi-level density of states (states/eV/atom): 0.892
E (eV/atom): -7.5487
Space-group type: I4mm

***

Entry 9:
Entry from Alexandria: a geometry-optimized Y2Zn3Pb structure (PBE).

Lattice parameters (Å, degrees): 9.1986 8.7561 5.8631 75.08 66.90 38.02
Closest atoms and distances in Å follow each position.
Fractional positions:
Y (0.2439, 0.7561, 0.7561)  10 Zn 3.09-3.28, 2 Pb 3.23
Y (0.2500, 0.2500, 0.2500)  4 Pb 3.22, 8 Zn 3.27-3.28
Y (0.7500, 0.7500, 0.7500)  4 Pb 3.22, 8 Zn 3.27-3.28
Y (0.7561, 0.2439, 0.2439)  10 Zn 3.09-3.28, 2 Pb 3.23
Zn (0.1590, 0.1590, 0.8410)  2 Zn 2.55, 1 Pb 2.79
Zn (0.1610, 0.6816, 0.3184)  2 Zn 2.51-2.55, 1 Pb 2.77
Zn (0.3184, 0.8390, 0.1610)  2 Zn 2.51-2.55, 1 Pb 2.77
Zn (0.6816, 0.1610, 0.8390)  2 Zn 2.51-2.55, 1 Pb 2.77
Zn (0.8390, 0.3184, 0.6816)  2 Zn 2.51-2.55, 1 Pb 2.77
Zn (0.8410, 0.8410, 0.1590)  2 Zn 2.55, 1 Pb 2.79
Pb (0.3343, 0.3343, 0.6657)  3 Zn 2.77-2.79
Pb (0.6657, 0.6657, 0.3343)  3 Zn 2.77-2.79

Results
Spin magnetization (Bohr magnetons per cell): 0.0
Crystal system: orthorhombic
Fermi-level density of states (states/eV/atom): 0.633
E (eV/atom): -3.8013
Space-group type: Fmmm

***

Entry 10:
Entry from Alexandria: a geometry-optimized CsNdSeCl2 structure (PBE).

Lattice parameters (Å, degrees): 9.8763 9.8763 8.5296 90.00 90.00 154.79
Closest atoms and distances in Å follow each position.
Fractional positions:
Cs (0.2110, 0.7890, 0.7500)  6 Cl 3.40-3.48
Cs (0.7890, 0.2110, 0.2500)  6 Cl 3.40-3.48
Nd (0.5000, 0.5000, 0.0000)  2 Cl 2.73, 4 Se 3.04
Nd (0.5000, 0.5000, 0.5000)  2 Cl 2.73, 4 Se 3.04
Se (0.0071, 0.9929, 0.7500)  4 Nd 3.04
Se (0.9929, 0.0071, 0.2500)  4 Nd 3.04
Cl (0.3587, 0.6413, 0.5155)  1 Nd 2.73
Cl (0.3587, 0.6413, 0.9845)  1 Nd 2.73
Cl (0.6413, 0.3587, 0.0155)  1 Nd 2.73
Cl (0.6413, 0.3587, 0.4845)  1 Nd 2.73

Results
Spin magnetization (Bohr magnetons per cell): 0.0
Formation energy (no corrections) (eV/atom): -1.995
Crystal system: orthorhombic
E (eV/atom): -4.5549
Space-group type: Cmcm

***

Entry 11:
Entry from Alexandria: a geometry-optimized TcRhW2 structure (PBE).

Lattice parameters (Å, degrees): 2.7634 3.9267 5.6596 90.00 90.00 90.00
Closest atoms and distances in Å follow each position.
Fractional positions:
Tc (0.0000, 0.0000, 0.0000)  6 W 2.75-2.88, 2 Tc 2.76, 4 Rh 2.80
Rh (0.5000, 0.5000, 0.7458)  6 W 2.75-2.88, 2 Rh 2.76, 4 Tc 2.80
W (0.0000, 0.0000, 0.5090)  4 Rh 2.75, 6 W 2.76-2.85, 2 Tc 2.78-2.88
W (0.5000, 0.5000, 0.2368)  4 Tc 2.75, 6 W 2.76-2.85, 2 Rh 2.78-2.88

Results
Spin magnetization (Bohr magnetons per cell): 0.0
Crystal system: orthorhombic
Fermi-level density of states (states/eV/atom): 1.001
E (eV/atom): -10.8034
Space-group type: Pmm2

***

Entry 12:
Entry from Alexandria: a geometry-optimized MgIn2S4 structure (PBE).

Lattice parameters (Å, degrees): 7.6949 7.6949 7.6949 60.00 60.00 60.00
Closest atoms and distances in Å follow each position.
Fractional positions:
Mg (0.1250, 0.1250, 0.1250)  4 S 2.49
Mg (0.8750, 0.8750, 0.8750)  4 S 2.49
In (0.0000, 0.5000, 0.5000)  6 S 2.65
In (0.5000, 0.0000, 0.5000)  6 S 2.65
In (0.5000, 0.5000, 0.0000)  6 S 2.65
In (0.5000, 0.5000, 0.5000)  6 S 2.65
S (0.2571, 0.2571, 0.2571)  1 Mg 2.49, 3 In 2.65
S (0.2571, 0.2571, 0.7288)  1 Mg 2.49, 3 In 2.65
S (0.2571, 0.7288, 0.2571)  1 Mg 2.49, 3 In 2.65
S (0.2712, 0.7429, 0.7429)  1 Mg 2.49, 3 In 2.65
S (0.7288, 0.2571, 0.2571)  1 Mg 2.49, 3 In 2.65
S (0.7429, 0.2712, 0.7429)  1 Mg 2.49, 3 In 2.65
S (0.7429, 0.7429, 0.2712)  1 Mg 2.49, 3 In 2.65
S (0.7429, 0.7429, 0.7429)  1 Mg 2.49, 3 In 2.65

Results
Spin magnetization (Bohr magnetons per cell): 0.0
Formation energy (no corrections) (eV/atom): -0.811
Crystal system: cubic
Fermi-level density of states (states/eV/atom): 0.000
E (eV/atom): -4.1797
Space-group type: Fd-3m